Record 1
# NaBi5Pd6

An optimized crystal structure of NaBi5Pd6 (PBE, Alexandria via LeMat-Bulk).

Results
ΔE_f in meV per atom: -260
SG: C2/m, No. 12
Energy relative to the lowest polymorph listed for this composition in eV/f.u.: 0.00
Density of states at the Fermi level in states/eV per cell: 4.02
Magnetization in μB per cell: 0.00
Electronic total energy in eV/atom: -4.5837

Lattice parameters (Å, degrees): 4.9465 8.6531 8.4701 59.28 72.81 54.64
Element x y z (fractional)
Na1 0.0000 0.0000 0.0000
Bi1 0.5000 0.1494 0.7011
Bi2 0.0000 0.3243 0.3514
Bi3 0.5000 0.5000 0.0000
Bi4 0.0000 0.6757 0.6486
Bi5 0.5000 0.8506 0.2989
Pd1 0.7315 0.0984 0.3450
Pd2 0.2685 0.5565 0.3450
Pd3 0.2226 0.2794 0.0000
Pd4 0.7774 0.7206 0.0000
Pd5 0.7315 0.4435 0.6550
Pd6 0.2685 0.9016 0.6550

=====

Record 2
# Er3HgO6

An optimized crystal structure of Er3HgO6 (PBE, Alexandria via LeMat-Bulk).

Results
SG: Cmc2_1, No. 36
Density of states at the Fermi level in states/eV per cell: 16.84
Magnetization in μB per cell: 0.00
Formation energy from raw total energies in eV per atom: -2.68
Electronic total energy in eV/atom: -7.0543

Lattice parameters (Å, degrees): 5.6270 7.1289 7.1289 102.56 90.00 90.00
Element x y z (fractional)
Er1 0.4657 0.9096 0.6798
Er2 0.9657 0.6798 0.9096
Er3 0.4106 0.4001 0.5999
Er4 0.9106 0.5999 0.4001
Er5 0.9657 0.0904 0.3202
Er6 0.4657 0.3202 0.0904
Hg1 0.9724 0.1578 0.8422
Hg2 0.4724 0.8422 0.1578
O1 0.1867 0.6789 0.6406
O2 0.6867 0.6406 0.6789
O3 0.2066 0.4322 0.8987
O4 0.7066 0.8987 0.4322
O5 0.2683 0.0251 0.9749
O6 0.6161 0.2192 0.7808
O7 0.1161 0.7808 0.2192
O8 0.7683 0.9749 0.0251
O9 0.2066 0.1013 0.5678
O10 0.7066 0.5678 0.1013
O11 0.1867 0.3594 0.3211
O12 0.6867 0.3211 0.3594

=====

Record 3
# Ho5CSe4

An optimized crystal structure of Ho5CSe4 (PBE, Alexandria via LeMat-Bulk).

Results
SG: I4/mmm, No. 139
Energy relative to the lowest polymorph listed for this composition in eV/f.u.: 0.51
Density of states at the Fermi level in states/eV per cell: 3.15
Magnetization in μB per cell: 0.00
Formation energy from raw total energies in eV per atom: -1.47
Electronic total energy in eV/atom: -6.0702

Lattice parameters (Å, degrees): 3.9536 3.9536 14.6032 97.78 97.78 90.00
Element x y z (fractional)
Ho1 0.0816 0.0816 0.1632
Ho2 0.5000 0.5000 0.0000
Ho3 0.9184 0.9184 0.8368
Ho4 0.2931 0.2931 0.5863
Ho5 0.7069 0.7069 0.4137
C1 0.0000 0.0000 0.0000
Se1 0.3991 0.3991 0.7982
Se2 0.8079 0.8079 0.6158
Se3 0.1921 0.1921 0.3842
Se4 0.6009 0.6009 0.2018

=====

Record 4
# SrAl5Zn7

An optimized crystal structure of SrAl5Zn7 (PBE, Alexandria via LeMat-Bulk).

Results
ΔE_f in meV per atom: -82
SG: Imm2, No. 44
Density of states at the Fermi level in states/eV per cell: 4.62
Magnetization in μB per cell: 0.00
Electronic total energy in eV/atom: -2.3364

Lattice parameters (Å, degrees): 5.6056 6.9763 6.9763 81.40 66.31 66.31
Element x y z (fractional)
Sr1 0.0013 0.9987 0.9987
Al1 0.4971 0.0054 0.4971
Al2 0.0003 0.0054 0.4971
Al3 0.4971 0.4971 0.0054
Al4 0.0003 0.4971 0.0054
Al5 0.7273 0.7727 0.7727
Zn1 0.6431 0.3569 0.3569
Zn2 0.3549 0.6451 0.6451
Zn3 0.9984 0.3576 0.6456
Zn4 0.9984 0.6456 0.3576
Zn5 0.2812 0.2188 0.2188
Zn6 0.5002 0.7806 0.2189
Zn7 0.5002 0.2189 0.7806

=====

Record 5
# LaYIn4

An optimized crystal structure of LaYIn4 (PBE, Alexandria via LeMat-Bulk).

Results
ΔE_f in meV per atom: -461
SG: Imm2, No. 44
Energy relative to the lowest polymorph listed for this composition in eV/f.u.: 0.00
Density of states at the Fermi level in states/eV per cell: 4.25
Magnetization in μB per cell: 0.00
Electronic total energy in eV/atom: -4.1855

Lattice parameters (Å, degrees): 4.7603 6.3936 6.3936 71.96 68.14 68.14
Element x y z (fractional)
La1 0.5546 0.4454 0.4454
Y1 0.4375 0.0625 0.0625
In1 0.1608 0.6384 0.0401
In2 0.8432 0.8657 0.4480
In3 0.8432 0.4480 0.8657
In4 0.1608 0.0401 0.6384

=====

Record 6
# LiZr2N

An optimized crystal structure of LiZr2N (PBE, Alexandria via LeMat-Bulk).

Results
SG: R3m, No. 160
Density of states at the Fermi level in states/eV per cell: 2.69
Magnetization in μB per cell: 0.00
Formation energy from raw total energies in eV per atom: -0.70
Electronic total energy in eV/atom: -7.5369

Lattice parameters (Å, degrees): 3.2766 3.2766 8.0835 78.31 78.31 60.00
Element x y z (fractional)
Li1 0.5001 0.5001 0.4996
Zr1 0.0524 0.0524 0.8428
Zr2 0.2804 0.2804 0.1587
N1 0.6670 0.6670 0.9989

=====

Record 7
# HfZr2H2

An optimized crystal structure of HfZr2H2 (PBE, Alexandria via LeMat-Bulk).

Results
SG: I4/mmm, No. 139
Energy relative to the lowest polymorph listed for this composition in eV/f.u.: 0.00
Density of states at the Fermi level in states/eV per cell: 4.53
Magnetization in μB per cell: 0.00
Electronic total energy in eV/atom: -7.0185

Lattice parameters (Å, degrees): 3.2263 3.2263 7.5380 77.64 77.64 90.00
Element x y z (fractional)
H1 0.7500 0.2500 0.5000
H2 0.2500 0.7500 0.5000
Hf1 0.0000 0.0000 0.0000
Zr1 0.3462 0.3462 0.3077
Zr2 0.6538 0.6538 0.6923

=====

Record 8
# CeGe12Os4

An optimized crystal structure of CeGe12Os4 (PBE, Alexandria via LeMat-Bulk).

Results
ΔE_f in meV per atom: 85
SG: Im-3, No. 204
Density of states at the Fermi level in states/eV per cell: 12.89
Magnetization in μB per cell: 0.76
Electronic total energy in eV/atom: -6.1652

Lattice parameters (Å, degrees): 7.5637 7.5637 7.5637 109.47 109.47 109.47
Last column: magnetic moment on the atom in μB.
Element x y z (fractional)
Ce1 0.0000 0.0000 0.0000  0.55
Ge1 0.8460 0.3399 0.1859  0.00
Ge2 0.3399 0.4939 0.1540  0.00
Ge3 0.8141 0.1540 0.6601  0.00
Ge4 0.3399 0.1859 0.8460  0.00
Ge5 0.1859 0.8460 0.3399  0.00
Ge6 0.6601 0.5061 0.8460  0.00
Ge7 0.4939 0.1540 0.3399  0.00
Ge8 0.5061 0.8460 0.6601  0.00
Ge9 0.6601 0.8141 0.1540  0.00
Ge10 0.8460 0.6601 0.5061  0.00
Ge11 0.1540 0.3399 0.4939  0.00
Ge12 0.1540 0.6601 0.8141  0.00
Os1 0.0000 0.5000 0.0000  0.01
Os2 0.5000 0.0000 0.0000  0.01
Os3 0.5000 0.5000 0.5000  0.01
Os4 0.0000 0.0000 0.5000  0.01